*a*
Compound: Ba2Tl3Ag
Source: Alexandria
Functional: PBE
Structure: optimized geometry

Results
theoretical density: 8.08 Mg/m³
calculated volume: 34.1 Å³/atom

Lattice parameters (Å, degrees): 6.7564 6.7564 10.6802 113.26 113.26 75.62
With the nearest neighbours (Å) after each atom.
Atoms (fractional coordinates):
Tl (0.3434, 0.3434, 0.1719)  1 Ag 2.99, 2 Tl 3.17-3.18
Tl (0.8281, 0.8281, 0.6562)  1 Ag 2.98, 2 Tl 3.17
Tl (0.1714, 0.1714, 0.8281)  1 Ag 2.99, 2 Tl 3.17-3.18
Tl (0.6566, 0.6566, 0.8281)  1 Ag 2.99, 2 Tl 3.17-3.18
Tl (0.8286, 0.8286, 0.1719)  1 Ag 2.99, 2 Tl 3.17-3.18
Tl (0.1719, 0.1719, 0.3438)  1 Ag 2.98, 2 Tl 3.17
Ag (0.3331, 0.3331, 0.6661)  3 Tl 2.98-2.99
Ag (0.6669, 0.6669, 0.3339)  3 Tl 2.98-2.99
Ba (0.2500, 0.7500, 0.5000)  8 Tl 3.67, 4 Ag 3.71
Ba (0.2501, 0.7499, 0.0000)  10 Tl 3.68-3.80, 2 Ag 3.72
Ba (0.7500, 0.2500, 0.5000)  8 Tl 3.67, 4 Ag 3.71
Ba (0.7499, 0.2501, 0.0000)  10 Tl 3.68-3.80, 2 Ag 3.72

=====

*b*
Compound: Ba2Tl3Ag
Source: Alexandria
Functional: PBE
Structure: optimized geometry

Results
theoretical density: 8.17 Mg/m³
calculated volume: 33.7 Å³/atom

Lattice parameters (Å, degrees): 5.2581 6.6574 6.8410 77.41 67.40 66.74
With the nearest neighbours (Å) after each atom.
Atoms (fractional coordinates):
Ba (0.5423, 0.2072, 0.7081)  9 Tl 3.56-3.85, 3 Ag 3.86
Ba (0.4574, 0.7911, 0.2942)  3 Ag 3.62-3.63, 9 Tl 3.62-4.01
Ag (0.1671, 0.3849, 0.2809)  4 Tl 2.99-3.25
Tl (0.8493, 0.6005, 0.7009)  1 Ag 3.05, 3 Tl 3.14-3.28
Tl (0.1616, 0.7759, 0.9010)  3 Tl 3.14-3.24, 1 Ag 3.25
Tl (0.8224, 0.2404, 0.1148)  2 Ag 2.99, 2 Tl 3.24-3.28

=====

Going by the energies, *b* is most stable and the next is 31 meV per atom up.

=====

*a*
Compound: BaTlAg3
Source: Alexandria
Functional: PBE
Structure: optimized geometry

Results
theoretical density: 8.07 Mg/m³
calculated volume: 27.4 Å³/atom

Lattice parameters (Å, degrees): 5.2442 5.2444 6.1299 64.45 64.44 82.34
With the nearest neighbours (Å) after each atom.
Atoms (fractional coordinates):
Ag (0.7146, 0.5180, 0.1871)  4 Ag 2.83-2.85, 1 Tl 2.89
Ag (0.1160, 0.4993, 0.3906)  3 Ag 2.83-2.90, 2 Tl 2.93-2.95
Ag (0.6957, 0.9193, 0.3908)  3 Ag 2.83-2.90, 2 Tl 2.93-2.95
Tl (0.0762, 0.8799, 0.6431)  5 Ag 2.89-2.95
Ba (0.4052, 0.2087, 0.8995)  12 Ag 3.58-3.78, 4 Tl 3.71-3.74

=====

*b*
Compound: BaTlAg3
Source: Alexandria
Functional: PBE
Structure: optimized geometry

Results
theoretical density: 4.53 Mg/m³
calculated volume: 48.7 Å³/atom

Lattice parameters (Å, degrees): 6.2459 6.2459 6.2459 90.00 90.00 90.00
With the nearest neighbours (Å) after each atom.
Atoms (fractional coordinates):
Ag (0.0000, 0.0000, 0.5000)  2 Ba 3.12
Ag (0.5000, 0.0000, 0.0000)  2 Ba 3.12
Ag (0.0000, 0.5000, 0.0000)  2 Ba 3.12
Tl (0.5000, 0.5000, 0.5000)  12 Ag 4.42
Ba (0.0000, 0.0000, 0.0000)  6 Ag 3.12

=====

*c*
Compound: BaTlAg3
Source: Alexandria
Functional: PBE
Structure: optimized geometry

Results
theoretical density: 7.07 Mg/m³
calculated volume: 31.2 Å³/atom

Lattice parameters (Å, degrees): 5.3856 5.3856 5.3856 90.00 90.00 90.00
With the nearest neighbours (Å) after each atom.
Atoms (fractional coordinates):
Ba (0.5000, 0.5000, 0.5000)  12 Ag 3.81
Ag (0.5000, 0.0000, 0.0000)  2 Tl 2.69
Ag (0.0000, 0.0000, 0.5000)  2 Tl 2.69
Ag (0.0000, 0.5000, 0.0000)  2 Tl 2.69
Tl (0.0000, 0.0000, 0.0000)  6 Ag 2.69

=====

Going by the energies, *a* is most stable and the next is 222 meV per atom up.

=====

*a*
Compound: Ba3Tl4Ag4
Source: Alexandria
Functional: PBE
Structure: optimized geometry

Results
theoretical density: 8.10 Mg/m³
calculated volume: 30.9 Å³/atom

Lattice parameters (Å, degrees): 5.3183 7.6635 9.5645 113.62 106.14 90.00
With the nearest neighbours (Å) after each atom.
Atoms (fractional coordinates):
Tl (0.5000, 0.8095, 0.0000)  2 Ag 2.91, 1 Tl 2.92
Tl (0.2174, 0.7174, 0.4347)  6 Ag 3.12-3.14
Tl (0.5000, 0.1905, 0.0000)  2 Ag 2.91, 1 Tl 2.92
Tl (0.7826, 0.2826, 0.5653)  6 Ag 3.12-3.14
Ag (0.3353, 0.5200, 0.6706)  1 Ag 2.83, 4 Tl 2.91-3.14
Ag (0.6647, 0.4800, 0.3294)  1 Ag 2.83, 4 Tl 2.91-3.14
Ag (0.3353, 0.1506, 0.6706)  1 Ag 2.83, 4 Tl 2.91-3.14
Ag (0.6647, 0.8494, 0.3294)  1 Ag 2.83, 4 Tl 2.91-3.14
Ba (0.0000, 0.5000, 0.0000)  6 Tl 3.56-3.63
Ba (0.1412, 0.1412, 0.2824)  6 Ag 3.54-3.61, 6 Tl 3.56-3.84
Ba (0.8588, 0.8588, 0.7176)  6 Ag 3.54-3.61, 6 Tl 3.56-3.84

=====

*b*
Compound: Ba3Tl4Ag4
Source: Alexandria
Functional: PBE
Structure: optimized geometry

Results
theoretical density: 7.94 Mg/m³
calculated volume: 31.6 Å³/atom

Lattice parameters (Å, degrees): 4.5073 5.0216 15.7072 80.87 81.78 90.15
With the nearest neighbours (Å) after each atom.
Atoms (fractional coordinates):
Tl (0.2533, 0.2535, 0.4936)  4 Ag 2.99-3.07
Tl (0.4031, 0.9062, 0.1904)  3 Ag 2.89-2.92
Tl (0.7468, 0.7465, 0.5064)  4 Ag 2.99-3.07
Tl (0.5969, 0.0938, 0.8096)  3 Ag 2.89-2.92
Ag (0.4533, 0.4542, 0.0931)  1 Ag 2.86, 2 Tl 2.92
Ag (0.6899, 0.1887, 0.6215)  5 Tl 2.89-3.07
Ag (0.3101, 0.8113, 0.3786)  5 Tl 2.89-3.07
Ag (0.5467, 0.5458, 0.9069)  1 Ag 2.86, 2 Tl 2.92
Ba (0.8522, 0.3537, 0.2942)  6 Ag 3.61-3.82, 6 Tl 3.73-3.80
Ba (0.0000, 0.0000, 0.0000)  8 Ag 3.66-3.67, 4 Tl 3.68-3.69
Ba (0.1478, 0.6463, 0.7058)  6 Ag 3.61-3.82, 6 Tl 3.73-3.80

=====

Going by the energies, *b* is most stable and the next is 45 meV per atom up.

=====

*a*
Compound: BaTlAg
Source: Alexandria
Functional: PBE
Structure: optimized geometry

Results
theoretical density: 6.86 Mg/m³
calculated volume: 36.3 Å³/atom

Lattice parameters (Å, degrees): 5.3584 5.3584 5.3584 60.00 60.00 60.00
With the nearest neighbours (Å) after each atom.
Atoms (fractional coordinates):
Ba (0.0000, 0.0000, 0.0000)  4 Ag 3.28
Ag (0.7500, 0.7500, 0.7500)  4 Ba 3.28, 4 Tl 3.28
Tl (0.5000, 0.5000, 0.5000)  4 Ag 3.28

=====

*b*
Compound: BaTlAg
Source: Alexandria
Functional: PBE
Structure: optimized geometry

Results
theoretical density: 7.52 Mg/m³
calculated volume: 33.1 Å³/atom

Lattice parameters (Å, degrees): 5.1272 5.1272 4.3601 90.00 90.00 120.00
With the nearest neighbours (Å) after each atom.
Atoms (fractional coordinates):
Ag (0.0000, 0.0000, 0.8329)  3 Tl 2.96
Tl (0.3333, 0.6667, 0.8335)  3 Ag 2.96
Ba (0.6667, 0.3333, 0.3335)  6 Ag 3.67-3.68, 6 Tl 3.68

=====

Going by the energies, *b* is most stable and the next is 155 meV per atom up.

=====

*a*
Compound: BaTlAg
Source: Alexandria
Functional: PBE
Structure: optimized geometry

Results
theoretical density: 7.78 Mg/m³
calculated volume: 32.0 Å³/atom

Lattice parameters (Å, degrees): 5.0783 6.2948 7.0808 75.53 68.99 66.21
With the nearest neighbours (Å) after each atom.
Atoms (fractional coordinates):
Ag (0.3572, 0.5910, 0.6945)  1 Ag 2.89, 3 Tl 3.03-3.10
Ag (0.6428, 0.4090, 0.3055)  1 Ag 2.89, 3 Tl 3.03-3.10
Tl (0.6838, 0.7357, 0.8967)  3 Ag 3.03-3.10
Tl (0.3162, 0.2643, 0.1033)  3 Ag 3.03-3.10
Ba (0.0588, 0.1858, 0.6966)  5 Ag 3.43-3.74, 5 Tl 3.58-3.77
Ba (0.9412, 0.8142, 0.3034)  5 Ag 3.43-3.74, 5 Tl 3.58-3.77

=====

*b*
Compound: BaTlAg
Source: Alexandria
Functional: PBE
Structure: optimized geometry

Results
theoretical density: 7.79 Mg/m³
calculated volume: 32.0 Å³/atom

Lattice parameters (Å, degrees): 6.4415 6.4415 6.4415 143.06 143.09 53.22
With the nearest neighbours (Å) after each atom.
Atoms (fractional coordinates):
Tl (0.6390, 0.6390, 0.0000)  4 Ag 3.17, 1 Ba 3.49
Ag (0.0251, 0.0251, 0.0000)  4 Tl 3.17
Ba (0.3359, 0.3359, 0.0000)  5 Tl 3.49-3.67, 5 Ag 3.58-3.62

=====

*c*
Compound: BaTlAg
Source: Alexandria
Functional: PBE
Structure: optimized geometry

Results
theoretical density: 7.51 Mg/m³
calculated volume: 33.1 Å³/atom

Lattice parameters (Å, degrees): 4.7986 6.1883 7.1848 81.92 70.46 89.88
With the nearest neighbours (Å) after each atom.
Atoms (fractional coordinates):
Ba (0.3240, 0.1330, 0.6242)  4 Ag 3.31-3.60, 2 Tl 3.64-3.65
Ba (0.0952, 0.4951, 0.0843)  4 Ag 3.31-3.60, 2 Tl 3.65
Ag (0.9916, 0.9484, 0.2901)  3 Tl 2.96-3.07, 2 Ag 2.97-2.98, 1 Ba 3.31
Ag (0.4278, 0.6797, 0.4184)  3 Tl 2.96-3.07, 2 Ag 2.97-2.98, 1 Ba 3.31
Tl (0.7976, 0.6202, 0.6776)  3 Ag 2.96-3.07
Tl (0.6217, 0.0081, 0.0310)  3 Ag 2.96-3.07

=====

*d*
Compound: BaTlAg
Source: Alexandria
Functional: PBE
Structure: optimized geometry

Results
theoretical density: 6.17 Mg/m³
calculated volume: 40.3 Å³/atom

Lattice parameters (Å, degrees): 5.5518 5.5518 5.5518 60.00 60.00 60.00
With the nearest neighbours (Å) after each atom.
Atoms (fractional coordinates):
Ba (0.7500, 0.7500, 0.7500)  4 Ag 3.40, 4 Tl 3.40
Ag (0.5000, 0.5000, 0.5000)  4 Ba 3.40
Tl (0.0000, 0.0000, 0.0000)  4 Ba 3.40

=====

Going by the energies, *a* is most stable and the next is 11 meV per atom up.